This record from the Alexandria database describes a geometry-optimized Pm2DyMn structure. The functional is PBE.

Results
- polymorph energy (0 for the lowest one) (kJ/mol of formula units) = 140
- SG = R-3m
- E_tot (eV/atom) = -5.286
- energy of formation from the pure elements (eV per atom) = 0.532

Cell lengths 3.4344, 3.4344, 11.7942 Å; angles 81.63, 81.63, 60.00 degrees
Fractional positions:
Pm (0.0819, 0.0819, 0.7542)
Pm (0.9181, 0.9181, 0.2458)
Mn (0.0000, 0.0000, 0.0000)
Dy (0.5000, 0.5000, 0.5000)